--- a ---
Material: NaFeIO2
Method: DFT, PBE with a Hubbard U
State: optimized geometry

Unit cell a=3.9673 b=3.9673 c=6.1001 alpha=90.00 beta=90.00 gamma=90.00
Last column: nearest neighbours and their distance in Å.
Sites, in units of the cell vectors:
I 0.0000 0.0000 0.5000  4 Na 2.81, 2 Fe 3.05
Na 0.5000 0.5000 0.5000  4 I 2.81
Fe 0.0000 0.0000 0.0000  4 O 1.98
O 0.0000 0.5000 0.0000  2 Fe 1.98
O 0.5000 0.0000 0.0000  2 Fe 1.98

Values from the calculation:
SG   P4/mmm (123)

--- b ---
Material: NaFeIO2
Method: DFT, PBE with a Hubbard U
State: optimized geometry

Unit cell a=4.2526 b=4.2526 c=5.7645 alpha=90.00 beta=90.00 gamma=90.00
Last column: nearest neighbours and their distance in Å.
Sites, in units of the cell vectors:
I 0.0000 0.0000 0.5000  2 Na 2.88, 4 Fe 3.01
Na 0.0000 0.0000 0.0000  4 O 2.13
Fe 0.5000 0.5000 0.5000  4 I 3.01
O 0.0000 0.5000 0.0000  2 Na 2.13
O 0.5000 0.0000 0.0000  2 Na 2.13

Values from the calculation:
SG   P4/mmm (123)

Calculated relative energies: a 0; b 1113, given in meV per atom